# 1
# KNa3Ag (GGA-PBEsol, optimized geometry)
data_KNa3Ag
_symmetry_space_group_name_H-M 'P m -3 m'
_symmetry_Int_Tables_number 221
_symmetry_space_group_name_Hall '-P 4 2 3'
_cell_length_a 5.7819
_cell_length_b 5.7819
_cell_length_c 5.7819
_cell_angle_alpha 90.00
_cell_angle_beta 90.00
_cell_angle_gamma 90.00
loop_
_atom_site_label
_atom_site_fract_x
_atom_site_fract_y
_atom_site_fract_z
K1 0.0000 0.0000 0.0000
Na1 0.0000 0.5000 0.5000
Ag1 0.5000 0.5000 0.5000
# - VASP energy: -1.638 eV per atom
# - Crystal system: cubic

=====

# 2
# Zn5Ir4 (GGA-PBEsol, optimized geometry)
data_Zn5Ir4
_symmetry_space_group_name_H-M 'I 4/m m m'
_symmetry_Int_Tables_number 139
_symmetry_space_group_name_Hall '-I 4 2'
_cell_length_a 7.9575
_cell_length_b 7.9575
_cell_length_c 3.8704
_cell_angle_alpha 90.00
_cell_angle_beta 90.00
_cell_angle_gamma 90.00
loop_
_atom_site_label
_atom_site_fract_x
_atom_site_fract_y
_atom_site_fract_z
Zn1 0.0000 0.0000 0.0000
Zn2 0.1688 0.1688 0.5000
Ir1 0.0000 0.3309 0.0000
# - VASP energy: -5.364 eV per atom
# - Crystal system: tetragonal

=====

# 3
# Tl2TcB (GGA-PBEsol, optimized geometry)
data_Tl2TcB
_symmetry_space_group_name_H-M 'F m -3 m'
_symmetry_Int_Tables_number 225
_symmetry_space_group_name_Hall '-F 4 2 3'
_cell_length_a 6.5789
_cell_length_b 6.5789
_cell_length_c 6.5789
_cell_angle_alpha 90.00
_cell_angle_beta 90.00
_cell_angle_gamma 90.00
loop_
_atom_site_label
_atom_site_fract_x
_atom_site_fract_y
_atom_site_fract_z
Tl1 0.2500 0.2500 0.2500
Tc1 0.0000 0.0000 0.0000
B1 0.0000 0.0000 0.5000
# - VASP energy: -4.335 eV per atom
# - Crystal system: cubic

=====

# 4
# Tb2MnCrO6 (GGA-PBEsol, optimized geometry)
data_Tb2MnCrO6
_symmetry_space_group_name_H-M 'P 1 21/c 1'
_symmetry_Int_Tables_number 14
_symmetry_space_group_name_Hall '-P 2ybc'
_cell_length_a 5.2654
_cell_length_b 5.6558
_cell_length_c 9.0034
_cell_angle_alpha 90.00
_cell_angle_beta 125.36
_cell_angle_gamma 90.00
loop_
_atom_site_label
_atom_site_fract_x
_atom_site_fract_y
_atom_site_fract_z
Tb1 0.2299 0.0752 0.2496
Mn1 0.5000 0.0000 0.0000
Cr1 0.0000 0.0000 0.5000
O1 0.1359 0.1980 0.9483
O2 0.2508 0.6884 0.9462
O3 0.3609 0.0344 0.7540
# - Uncorrected formation energy: -27.33 eV per formula unit
# - VASP energy: -8.885 eV per atom
# - Crystal system: monoclinic

=====

# 5
# TlCu5Se3 (GGA-PBEsol, optimized geometry)
data_TlCu5Se3
_symmetry_space_group_name_H-M 'P 42/m n m'
_symmetry_Int_Tables_number 136
_symmetry_space_group_name_Hall '-P 4n 2n'
_cell_length_a 12.6861
_cell_length_b 12.6861
_cell_length_c 3.8443
_cell_angle_alpha 90.00
_cell_angle_beta 90.00
_cell_angle_gamma 90.00
loop_
_atom_site_label
_atom_site_fract_x
_atom_site_fract_y
_atom_site_fract_z
Tl1 0.1036 0.1036 0.0000
Cu1 0.0089 0.3978 0.0000
Cu2 0.0880 0.7080 0.5000
Cu3 0.1858 0.8142 0.0000
Se1 0.1034 0.8966 0.5000
Se2 0.1133 0.3176 0.5000
# - Uncorrected formation energy: -1.24 eV per formula unit
# - VASP energy: -4.121 eV per atom
# - Crystal system: tetragonal

=====

# 6
# YZnTe2 (GGA-PBEsol, optimized geometry)
data_YZnTe2
_symmetry_space_group_name_H-M 'P 4/m m m'
_symmetry_Int_Tables_number 123
_symmetry_space_group_name_Hall '-P 4 2'
_cell_length_a 5.0395
_cell_length_b 5.0395
_cell_length_c 3.8125
_cell_angle_alpha 90.00
_cell_angle_beta 90.00
_cell_angle_gamma 90.00
loop_
_atom_site_label
_atom_site_fract_x
_atom_site_fract_y
_atom_site_fract_z
Y1 0.0000 0.0000 0.0000
Zn1 0.5000 0.5000 0.0000
Te1 0.0000 0.5000 0.5000
# - Uncorrected formation energy: -2.57 eV per formula unit
# - Energy relative to the lowest polymorph listed for this composition: 306 meV/atom
# - VASP energy: -4.507 eV per atom
# - Crystal system: tetragonal

=====

# 7
# CrRe2TcHg (GGA-PBEsol, optimized geometry)
data_CrRe2TcHg
_symmetry_space_group_name_H-M 'P 4/m m m'
_symmetry_Int_Tables_number 123
_symmetry_space_group_name_Hall '-P 4 2'
_cell_length_a 4.3404
_cell_length_b 4.3404
_cell_length_c 4.7575
_cell_angle_alpha 90.00
_cell_angle_beta 90.00
_cell_angle_gamma 90.00
loop_
_atom_site_label
_atom_site_fract_x
_atom_site_fract_y
_atom_site_fract_z
Cr1 0.0000 0.0000 0.0000
Re1 0.0000 0.5000 0.0000
Tc1 0.5000 0.5000 0.5000
Hg1 0.0000 0.0000 0.5000
# - VASP energy: -7.782 eV per atom
# - Crystal system: tetragonal

=====

# 8
# WAuOF2 (GGA-PBEsol, optimized geometry)
data_WAuOF2
_symmetry_space_group_name_H-M 'P 4/m m m'
_symmetry_Int_Tables_number 123
_symmetry_space_group_name_Hall '-P 4 2'
_cell_length_a 4.1813
_cell_length_b 4.1813
_cell_length_c 3.8118
_cell_angle_alpha 90.00
_cell_angle_beta 90.00
_cell_angle_gamma 90.00
loop_
_atom_site_label
_atom_site_fract_x
_atom_site_fract_y
_atom_site_fract_z
W1 0.0000 0.0000 0.0000
Au1 0.5000 0.5000 0.5000
O1 0.0000 0.0000 0.5000
F1 0.0000 0.5000 0.0000
# - Uncorrected formation energy: -4.43 eV per formula unit
# - VASP energy: -6.254 eV per atom
# - Crystal system: tetragonal

=====

# 9
# Mo2PbBr (GGA-PBEsol, optimized geometry)
data_Mo2PbBr
_symmetry_space_group_name_H-M 'P 1 2/m 1'
_symmetry_Int_Tables_number 10
_symmetry_space_group_name_Hall '-P 2y'
_cell_length_a 3.7317
_cell_length_b 4.6348
_cell_length_c 5.3081
_cell_angle_alpha 90.00
_cell_angle_beta 91.36
_cell_angle_gamma 90.00
loop_
_atom_site_label
_atom_site_fract_x
_atom_site_fract_y
_atom_site_fract_z
Mo1 0.1861 0.0000 0.1601
Pb1 0.5000 0.5000 0.0000
Br1 0.0000 0.5000 0.5000
# - Uncorrected formation energy: 3.10 eV per formula unit
# - Energy relative to the lowest polymorph listed for this composition: 557 meV/atom
# - VASP energy: -6.577 eV per atom
# - Crystal system: monoclinic

=====

# 10
# LiLa2Co (GGA-PBEsol, optimized geometry)
data_LiLa2Co
_symmetry_space_group_name_H-M 'P 4 m m'
_symmetry_Int_Tables_number 99
_symmetry_space_group_name_Hall 'P 4 -2'
_cell_length_a 3.5074
_cell_length_b 3.5074
_cell_length_c 7.3264
_cell_angle_alpha 90.00
_cell_angle_beta 90.00
_cell_angle_gamma 90.00
loop_
_atom_site_label
_atom_site_fract_x
_atom_site_fract_y
_atom_site_fract_z
Li1 0.0000 0.0000 0.0000
La1 0.0000 0.0000 0.3657
La2 0.5000 0.5000 0.7722
Co1 0.5000 0.5000 0.0980
# - VASP energy: -4.887 eV per atom
# - Crystal system: tetragonal

=====

# 11
# TaTcMo (GGA-PBEsol, optimized geometry)
data_TaTcMo
_symmetry_space_group_name_H-M 'F -4 3 m'
_symmetry_Int_Tables_number 216
_symmetry_space_group_name_Hall 'F -4 2 3'
_cell_length_a 6.0439
_cell_length_b 6.0439
_cell_length_c 6.0439
_cell_angle_alpha 90.00
_cell_angle_beta 90.00
_cell_angle_gamma 90.00
loop_
_atom_site_label
_atom_site_fract_x
_atom_site_fract_y
_atom_site_fract_z
Ta1 0.0000 0.0000 0.0000
Tc1 0.2500 0.2500 0.7500
Mo1 0.2500 0.2500 0.2500
# - VASP energy: -10.861 eV per atom
# - Crystal system: cubic

=====

# 12
# RuPtSe2 (GGA-PBEsol, optimized geometry)
data_RuPtSe2
_symmetry_space_group_name_H-M 'C m m m'
_symmetry_Int_Tables_number 65
_symmetry_space_group_name_Hall '-C 2 2'
_cell_length_a 2.8711
_cell_length_b 4.9215
_cell_length_c 9.0660
_cell_angle_alpha 90.00
_cell_angle_beta 90.00
_cell_angle_gamma 90.00
loop_
_atom_site_label
_atom_site_fract_x
_atom_site_fract_y
_atom_site_fract_z
Ru1 0.0000 0.0000 0.0000
Pt1 0.0000 0.0000 0.5000
Se1 0.0000 0.5000 0.2300
# - Uncorrected formation energy: 1.70 eV per formula unit
# - Energy relative to the lowest polymorph listed for this composition: 322 meV/atom
# - VASP energy: -5.785 eV per atom
# - Crystal system: orthorhombic

=====

# 13
# LaSe2Cl (GGA-PBEsol, optimized geometry)
data_LaSe2Cl
_symmetry_space_group_name_H-M 'F -4 3 m'
_symmetry_Int_Tables_number 216
_symmetry_space_group_name_Hall 'F -4 2 3'
_cell_length_a 7.1597
_cell_length_b 7.1597
_cell_length_c 7.1597
_cell_angle_alpha 90.00
_cell_angle_beta 90.00
_cell_angle_gamma 90.00
loop_
_atom_site_label
_atom_site_fract_x
_atom_site_fract_y
_atom_site_fract_z
La1 0.0000 0.0000 0.0000
Se1 0.0000 0.0000 0.5000
Se2 0.2500 0.2500 0.7500
Cl1 0.2500 0.2500 0.2500
# - Uncorrected formation energy: -4.50 eV per formula unit
# - Energy relative to the lowest polymorph listed for this composition: 396 meV/atom
# - VASP energy: -4.889 eV per atom
# - Crystal system: cubic

=====

# 14
# CsNaB10H4O18 (GGA-PBEsol, optimized geometry)
data_CsNaB10H4O18
_symmetry_space_group_name_H-M 'P 1 c 1'
_symmetry_Int_Tables_number 7
_symmetry_space_group_name_Hall 'P -2yc'
_cell_length_a 7.5721
_cell_length_b 9.0032
_cell_length_c 11.8665
_cell_angle_alpha 90.00
_cell_angle_beta 116.12
_cell_angle_gamma 90.00
loop_
_atom_site_label
_atom_site_fract_x
_atom_site_fract_y
_atom_site_fract_z
Cs1 0.0000 0.1763 0.0000
Na1 0.4626 0.4174 0.0024
B1 0.0151 0.3973 0.4995
B2 0.0557 0.2680 0.3292
B3 0.2106 0.4661 0.7209
B4 0.2557 0.0434 0.3285
B5 0.4230 0.1556 0.7832
B6 0.5090 0.0909 0.0031
B7 0.6022 0.1515 0.2251
B8 0.7674 0.0458 0.6747
B9 0.8147 0.4622 0.2784
B10 0.9690 0.2704 0.6704
H1 0.3485 0.2256 0.6061
H2 0.4283 0.3755 0.2999
H3 0.5999 0.3795 0.7059
H4 0.6868 0.2290 0.4025
O1 0.1213 0.3539 0.7597
O2 0.1237 0.1575 0.2781
O3 0.1261 0.2970 0.4536
O4 0.1571 0.4928 0.5976
O5 0.2981 0.0340 0.7414
O6 0.3343 0.0047 0.4505
O7 0.3513 0.4556 0.3174
O8 0.4460 0.2429 0.6947
O9 0.4962 0.1854 0.1013
O10 0.5208 0.1907 0.9072
O11 0.5838 0.2402 0.3142
O12 0.6686 0.4610 0.6830
O13 0.6840 0.0051 0.5531
O14 0.7293 0.0307 0.2642
O15 0.8756 0.4929 0.4017
O16 0.8993 0.1610 0.7217
O17 0.9006 0.3483 0.2396
O18 0.9042 0.2967 0.5460
# - VASP energy: -7.507 eV per atom
# - Crystal system: monoclinic

=====

# 15
# PdPt3 (GGA-PBEsol, optimized geometry)
data_PdPt3
_symmetry_space_group_name_H-M 'I 4/m m m'
_symmetry_Int_Tables_number 139
_symmetry_space_group_name_Hall '-I 4 2'
_cell_length_a 3.9069
_cell_length_b 3.9069
_cell_length_c 7.7605
_cell_angle_alpha 90.00
_cell_angle_beta 90.00
_cell_angle_gamma 90.00
loop_
_atom_site_label
_atom_site_fract_x
_atom_site_fract_y
_atom_site_fract_z
Pd1 0.0000 0.0000 0.0000
Pt1 0.0000 0.0000 0.5000
Pt2 0.0000 0.5000 0.2500
# - VASP energy: -6.736 eV per atom
# - Crystal system: tetragonal

=====

# 16
# K3B12H12I (GGA-PBEsol, optimized geometry)
data_K3B12H12I
_symmetry_space_group_name_H-M 'R -3 m'
_symmetry_Int_Tables_number 166
_symmetry_space_group_name_Hall '-R 3 2"'
_cell_length_a 10.0201
_cell_length_b 10.0201
_cell_length_c 11.0293
_cell_angle_alpha 90.00
_cell_angle_beta 90.00
_cell_angle_gamma 120.00
loop_
_atom_site_label
_atom_site_fract_x
_atom_site_fract_y
_atom_site_fract_z
K1 0.0000 0.5000 0.0000
B1 0.0588 0.1177 0.8784
B2 0.0954 0.1908 0.0289
H1 0.0056 0.5028 0.7176
H2 0.1011 0.2023 0.7915
I1 0.0000 0.0000 0.5000
# - VASP energy: -5.036 eV per atom
# - Crystal system: trigonal

=====

# 17
# Na2CaNbF (GGA-PBEsol, optimized geometry)
data_Na2CaNbF
_symmetry_space_group_name_H-M 'P 4/m m m'
_symmetry_Int_Tables_number 123
_symmetry_space_group_name_Hall '-P 4 2'
_cell_length_a 4.9394
_cell_length_b 4.9394
_cell_length_c 4.6807
_cell_angle_alpha 90.00
_cell_angle_beta 90.00
_cell_angle_gamma 90.00
loop_
_atom_site_label
_atom_site_fract_x
_atom_site_fract_y
_atom_site_fract_z
Na1 0.0000 0.5000 0.0000
Ca1 0.0000 0.0000 0.5000
Nb1 0.5000 0.5000 0.5000
F1 0.5000 0.5000 0.0000
# - Uncorrected formation energy: -0.73 eV per formula unit
# - VASP energy: -3.683 eV per atom
# - Crystal system: tetragonal

=====

# 18
# MgSiPS2 (GGA-PBEsol, optimized geometry)
data_MgSiPS2
_symmetry_space_group_name_H-M 'P 4/m m m'
_symmetry_Int_Tables_number 123
_symmetry_space_group_name_Hall '-P 4 2'
_cell_length_a 4.6585
_cell_length_b 4.6585
_cell_length_c 4.7508
_cell_angle_alpha 90.00
_cell_angle_beta 90.00
_cell_angle_gamma 90.00
loop_
_atom_site_label
_atom_site_fract_x
_atom_site_fract_y
_atom_site_fract_z
Mg1 0.0000 0.0000 0.0000
Si1 0.5000 0.5000 0.5000
P1 0.0000 0.0000 0.5000
S1 0.0000 0.5000 0.0000
# - Uncorrected formation energy: 3.47 eV per formula unit
# - VASP energy: -3.710 eV per atom
# - Crystal system: tetragonal

=====

# 19
# NaBi3Cl2O4 (GGA-PBEsol, optimized geometry)
data_NaBi3Cl2O4
_symmetry_space_group_name_H-M 'A m m 2'
_symmetry_Int_Tables_number 38
_symmetry_space_group_name_Hall 'A 2 -2'
_cell_length_a 5.4882
_cell_length_b 5.4959
_cell_length_c 12.0327
_cell_angle_alpha 90.00
_cell_angle_beta 90.00
_cell_angle_gamma 90.00
loop_
_atom_site_label
_atom_site_fract_x
_atom_site_fract_y
_atom_site_fract_z
Na1 0.0000 0.0000 0.0000
Bi1 0.0000 0.0000 0.6968
Bi2 0.5000 0.0000 0.1959
Bi3 0.5000 0.0000 0.5070
Cl1 0.0000 0.0000 0.3456
Cl2 0.5000 0.0000 0.8562
O1 0.2560 0.2431 0.6037
# - Uncorrected formation energy: -13.88 eV per formula unit
# - VASP energy: -5.315 eV per atom
# - Crystal system: orthorhombic

=====

# 20
# LaY2Ru (GGA-PBEsol, optimized geometry)
data_LaY2Ru
_symmetry_space_group_name_H-M 'F -4 3 m'
_symmetry_Int_Tables_number 216
_symmetry_space_group_name_Hall 'F -4 2 3'
_cell_length_a 7.2679
_cell_length_b 7.2679
_cell_length_c 7.2679
_cell_angle_alpha 90.00
_cell_angle_beta 90.00
_cell_angle_gamma 90.00
loop_
_atom_site_label
_atom_site_fract_x
_atom_site_fract_y
_atom_site_fract_z
La1 0.0000 0.0000 0.0000
Y1 0.0000 0.0000 0.5000
Y2 0.2500 0.2500 0.2500
Ru1 0.2500 0.2500 0.7500
# - Energy relative to the lowest polymorph listed for this composition: 342 meV/atom
# - VASP energy: -7.119 eV per atom
# - Crystal system: cubic

=====

# 21
# TlSiSN2 (GGA-PBEsol, optimized geometry)
data_TlSiSN2
_symmetry_space_group_name_H-M 'P 4/m m m'
_symmetry_Int_Tables_number 123
_symmetry_space_group_name_Hall '-P 4 2'
_cell_length_a 4.1919
_cell_length_b 4.1919
_cell_length_c 5.4275
_cell_angle_alpha 90.00
_cell_angle_beta 90.00
_cell_angle_gamma 90.00
loop_
_atom_site_label
_atom_site_fract_x
_atom_site_fract_y
_atom_site_fract_z
Tl1 0.0000 0.0000 0.0000
Si1 0.5000 0.5000 0.5000
S1 0.0000 0.0000 0.5000
N1 0.0000 0.5000 0.0000
# - Uncorrected formation energy: 9.66 eV per formula unit
# - Energy relative to the lowest polymorph listed for this composition: 283 meV/atom
# - VASP energy: -4.030 eV per atom
# - Crystal system: tetragonal